[1]
Compound: Y2BeRh
Source: the Alexandria database
Functional: meta-GGA SCAN
Structure: single point on PBEsol structure

Cell and atoms, written as POSCAR:
```
Y2BeRh
1.0
3.414 0.000 0.000
0.000 3.414 0.000
0.000 0.000 6.659
Y Be Rh
2 1 1
Cartesian
0.000 0.000 4.984
0.000 0.000 1.675
1.707 1.707 0.000
1.707 1.707 3.330
```

## Properties
Space-group type   P4/mmm (123)
ΔH_f (0 K)   -0.456 eV/atom
Total moment   0.0 μB per cell
Mass density   6.20 g cm⁻³

=====

[2]
Compound: YBeRh
Source: the Alexandria database
Functional: meta-GGA SCAN
Structure: single point on PBEsol structure

Cell and atoms, written as POSCAR:
```
YBeRh
1.0
4.410 0.000 0.000
2.205 3.820 0.000
2.205 1.273 3.601
Y Be Rh
1 1 1
Cartesian
6.616 3.820 2.701
0.000 0.000 0.000
4.410 2.546 1.801
```

## Properties
Space-group type   F-43m (216)
Relative energy among the computed polymorphs   348 kJ/mol of formula units
ΔH_f (0 K)   0.483 eV/atom
Total moment   0.0 μB per cell
Mass density   5.50 g cm⁻³

=====

[3]
Compound: Be4ZnRh
Source: the Alexandria database
Functional: meta-GGA SCAN
Structure: single point on PBEsol structure

Cell and atoms, written as POSCAR:
```
Be4ZnRh
1.0
4.293 0.000 0.000
2.146 3.718 0.000
2.146 1.239 3.505
Be Zn Rh
4 1 1
Cartesian
3.224 1.861 1.316
4.293 2.479 3.062
5.362 1.861 1.316
4.293 3.713 1.316
0.000 0.000 0.000
6.439 3.718 2.629
```

## Properties
Space-group type   F-43m (216)
ΔH_f (0 K)   -0.444 eV/atom
Total moment   0.0 μB per cell
Mass density   6.07 g cm⁻³

=====

[4]
Compound: Be2ZnRh2
Source: the Alexandria database
Functional: meta-GGA SCAN
Structure: single point on PBEsol structure

Cell and atoms, written as POSCAR:
```
Be2ZnRh2
1.0
2.893 0.000 0.000
0.000 6.150 0.000
0.000 0.000 6.150
Be Zn Rh
4 2 4
Cartesian
0.000 2.297 5.372
0.000 5.372 3.852
0.000 3.852 0.778
0.000 0.778 2.297
0.000 0.000 0.000
0.000 3.075 3.075
1.447 1.026 4.101
1.447 4.101 5.124
1.447 5.124 2.049
1.447 2.049 1.026
```

## Properties
Space-group type   P4/mbm (127)
ΔH_f (0 K)   -0.694 eV/atom
Total moment   0.0 μB per cell
Mass density   8.78 g cm⁻³

=====

[5]
Compound: ZrBe2Rh
Source: the Alexandria database
Functional: meta-GGA SCAN
Structure: single point on PBEsol structure

Cell and atoms, written as POSCAR:
```
ZrBe2Rh
1.0
3.717 0.000 0.000
1.859 3.219 0.000
1.859 1.073 4.498
Be Rh Zr
2 1 1
Cartesian
5.576 3.219 0.723
1.859 1.073 0.918
3.717 2.146 1.796
5.576 3.219 3.455
```

## Properties
Space-group type   R3m (160)
Relative energy among the computed polymorphs   50 kJ/mol of formula units
ΔH_f (0 K)   -0.442 eV/atom
Total moment   0.0 μB per cell
Mass density   6.54 g cm⁻³

=====

[6]
Compound: ZrBe2Rh
Source: the Alexandria database
Functional: meta-GGA SCAN
Structure: single point on PBEsol structure

Cell and atoms, written as POSCAR:
```
ZrBe2Rh
1.0
4.230 0.000 0.000
-2.115 3.659 0.237
0.000 2.212 3.606
Be Rh Zr
2 1 1
Cartesian
0.000 0.000 0.000
0.000 2.382 1.020
2.115 1.106 1.803
2.115 3.488 2.823
```

## Properties
Space-group type   F-43m (216)
Relative energy among the computed polymorphs   91 kJ/mol of formula units
ΔH_f (0 K)   -0.334 eV/atom
Total moment   0.0 μB per cell
Mass density   6.57 g cm⁻³

=====

[7]
Compound: ZrBe4Rh
Source: the Alexandria database
Functional: meta-GGA SCAN
Structure: single point on PBEsol structure

Cell and atoms, written as POSCAR:
```
ZrBe4Rh
1.0
-2.161 -1.014 -3.834
-4.327 -1.291 0.120
-3.221 2.749 -1.571
Be Rh Zr
4 1 1
Cartesian
-3.643 0.167 -1.983
-5.251 1.538 -2.767
-4.722 -0.339 -3.897
-5.803 -0.478 -1.923
-7.282 0.333 -3.964
0.000 0.000 0.000
```

## Properties
Space-group type   F-43m (216)
ΔH_f (0 K)   -0.465 eV/atom
Total moment   0.1 μB per cell
Mass density   5.87 g cm⁻³

=====

[8]
Compound: Zr2Be2Rh
Source: the Alexandria database
Functional: meta-GGA SCAN
Structure: single point on PBEsol structure

Cell and atoms, written as POSCAR:
```
Zr2Be2Rh
1.0
-1.671 -0.143 3.191
-2.811 -5.432 -1.716
4.876 -3.284 2.407
Be Rh Zr
4 2 4
Cartesian
3.222 -4.952 1.466
0.551 -6.815 -0.017
-1.157 -3.764 -0.775
1.514 -1.900 0.707
0.000 0.000 0.000
1.032 -4.358 0.345
1.968 -3.257 2.921
1.274 -6.452 2.414
-1.574 -5.602 0.961
-0.880 -2.407 1.468
```

## Properties
Space-group type   P4/mbm (127)
ΔH_f (0 K)   -0.505 eV/atom
Total moment   0.0 μB per cell
Mass density   6.93 g cm⁻³

=====

[9]
Compound: Zr2BeRh
Source: the Alexandria database
Functional: meta-GGA SCAN
Structure: single point on PBEsol structure

Cell and atoms, written as POSCAR:
```
Zr2BeRh
1.0
-2.811 -1.632 0.130
1.619 -2.731 0.707
-0.466 1.285 6.033
Be Rh Zr
1 1 2
Cartesian
-0.596 -2.182 0.419
-0.829 -1.539 3.435
-0.353 0.972 4.564
-0.114 0.313 1.469
```

## Properties
Space-group type   P4/mmm (123)
ΔH_f (0 K)   -0.492 eV/atom
Total moment   0.0 μB per cell
Mass density   7.47 g cm⁻³

=====

[10]
Compound: Zr2BeRh
Source: the Alexandria database
Functional: meta-GGA SCAN
Structure: single point on PBEsol structure

Cell and atoms, written as POSCAR:
```
Zr2BeRh
1.0
3.187 0.000 0.000
1.594 2.760 0.000
1.594 0.920 7.720
Be Rh Zr
1 1 2
Cartesian
3.187 1.840 3.860
0.000 0.000 0.000
1.594 0.920 2.030
4.781 2.760 5.690
```

## Properties
Space-group type   R-3m (166)
ΔH_f (0 K)   -0.181 eV/atom
Total moment   0.0 μB per cell
Mass density   7.20 g cm⁻³

=====

[11]
Compound: Zr2BeRh
Source: the Alexandria database
Functional: meta-GGA SCAN
Structure: single point on PBEsol structure

Cell and atoms, written as POSCAR:
```
Zr2BeRh
1.0
3.394 0.000 0.000
0.000 3.973 0.000
-1.697 0.000 5.002
Be Rh Zr
1 1 2
Cartesian
1.697 0.000 3.253
1.697 1.986 1.771
0.000 0.000 1.056
0.000 1.986 3.935
```

## Properties
Space-group type   Amm2 (38)
ΔH_f (0 K)   -0.548 eV/atom
Total moment   0.0 μB per cell
Mass density   7.25 g cm⁻³

=====

[12]
Compound: ZrBeRh2
Source: the Alexandria database
Functional: meta-GGA SCAN
Structure: single point on PBEsol structure

Cell and atoms, written as POSCAR:
```
ZrBeRh2
1.0
3.101 0.000 0.000
0.000 3.101 0.000
0.000 0.000 5.835
Be Rh Zr
1 2 1
Cartesian
1.550 1.550 0.000
0.000 0.000 1.307
0.000 0.000 4.528
1.550 1.550 2.918
```

## Properties
Space-group type   P4/mmm (123)
ΔH_f (0 K)   -0.801 eV/atom
Total moment   0.0 μB per cell
Mass density   9.06 g cm⁻³